[1]
Here is RuPtW after structural relaxation from Alexandria via LeMat-Bulk. Energies are from PBE.

Values from the calculation:
* calculated density: 17.53 g cm⁻³
* space-group type: No. 63
* DFT total energy: -9.587 eV/atom
* energy of formation from the pure elements: -0.49 eV per formula unit
* M_tot: 0.000 μB/f.u.

Structure (extended XYZ):
```
6
Lattice="-2.106 3.219 0.958 -1.536 -1.934 3.120 5.400 0.254 2.816" Properties=species:S:1:pos:R:3 pbc="T T T"
Ru 0.716 2.049 2.891
Ru 1.041 -0.510 4.003
Pt 3.268 1.082 3.548
Pt -1.510 0.457 3.346
W 1.298 1.661 5.475
W 0.459 -0.122 1.419
```

***

[2]
Here is Ru3PtW after structural relaxation from Alexandria via LeMat-Bulk. Energies are from PBE.

Values from the calculation:
* calculated density: 11.37 g cm⁻³
* space-group type: No. 221
* DFT total energy: -7.644 eV/atom
* energy of formation from the pure elements: 8.60 eV per formula unit
* M_tot: 2.928 μB/f.u.

Structure (extended XYZ):
```
5
Lattice="4.636 0.000 0.000 0.000 4.636 0.000 0.000 0.000 4.636" Properties=species:S:1:pos:R:3 pbc="T T T"
Ru 0.000 2.318 0.000
Ru 0.000 0.000 2.318
Ru 2.318 0.000 0.000
W 0.000 0.000 0.000
Pt 2.318 2.318 2.318
```

***

[3]
Here is RuPtW3 after structural relaxation from Alexandria via LeMat-Bulk. Energies are from PBE.

Values from the calculation:
* calculated density: 13.43 g cm⁻³
* space-group type: No. 221
* DFT total energy: -8.470 eV/atom
* energy of formation from the pure elements: 11.83 eV per formula unit
* M_tot: 0.000 μB/f.u.

Structure (extended XYZ):
```
5
Lattice="-0.416 0.925 -4.605 -2.877 -3.704 -0.484 -3.713 2.767 0.891" Properties=species:S:1:pos:R:3 pbc="T T T"
Ru -3.503 -0.006 -2.099
W -1.438 -1.852 -0.242
W -1.856 1.383 0.445
W -0.208 0.462 -2.302
Pt 0.000 0.000 0.000
```

***

[4]
Here is Ru3Pt2W2 after structural relaxation from Alexandria via LeMat-Bulk. Energies are from PBE.

Values from the calculation:
* calculated density: 16.53 g cm⁻³
* space-group type: No. 65
* DFT total energy: -9.437 eV/atom
* energy of formation from the pure elements: -0.24 eV per formula unit
* M_tot: 0.000 μB/f.u.

Structure (extended XYZ):
```
7
Lattice="-1.471 -3.389 -1.375 2.535 -0.938 -0.401 0.800 -2.049 9.846" Properties=species:S:1:pos:R:3 pbc="T T T"
Ru 1.324 -3.719 7.753
Ru 0.540 -2.656 0.317
Ru 0.000 0.000 0.000
Pt 1.306 -2.682 5.216
Pt 0.558 -3.693 2.855
W 0.018 -1.029 2.518
W -0.689 -4.409 5.954
```

***

[5]
Here is RuPtW after structural relaxation from Alexandria via LeMat-Bulk. Energies are from PBE.

Values from the calculation:
* calculated density: 15.65 g cm⁻³
* space-group type: No. 12
* DFT total energy: -9.305 eV/atom
* energy of formation from the pure elements: 0.36 eV per formula unit
* M_tot: 0.000 μB/f.u.

Structure (extended XYZ):
```
6
Lattice="3.866 0.000 0.000 -1.933 4.356 -0.170 0.000 -1.390 6.101" Properties=species:S:1:pos:R:3 pbc="T T T"
Ru 1.933 2.395 3.426
Ru 0.000 0.570 2.505
Pt 1.933 -0.143 4.561
Pt 0.000 3.108 1.371
W 1.933 1.305 1.001
W 0.000 1.660 4.931
```

***

[6]
Here is Y2Ru2Pt after structural relaxation from Alexandria via LeMat-Bulk. Energies are from PBE.

Values from the calculation:
* calculated density: 9.51 g cm⁻³
* space-group type: No. 127
* DFT total energy: -7.972 eV/atom
* energy of formation from the pure elements: -2.34 eV per formula unit
* M_tot: 0.000 μB/f.u.

Structure (extended XYZ):
```
10
Lattice="6.914 0.000 0.000 0.000 6.914 0.000 0.000 0.000 4.203" Properties=species:S:1:pos:R:3 pbc="T T T"
Y 1.258 4.715 2.101
Y 4.715 5.656 2.101
Y 5.656 2.199 2.101
Y 2.199 1.258 2.101
Ru 2.606 6.063 0.000
Ru 6.063 4.308 0.000
Ru 4.308 0.851 0.000
Ru 0.851 2.606 0.000
Pt 0.000 0.000 0.000
Pt 3.457 3.457 0.000
```

***

[7]
Here is Y4RuPt after structural relaxation from Alexandria via LeMat-Bulk. Energies are from PBE.

Values from the calculation:
* calculated density: 6.99 g cm⁻³
* space-group type: No. 15
* DFT total energy: -7.485 eV/atom
* energy of formation from the pure elements: -3.74 eV per formula unit
* M_tot: 0.000 μB/f.u.

Structure (extended XYZ):
```
12
Lattice="-2.421 -2.719 5.216 -1.241 -5.509 -5.026 7.685 1.541 1.280" Properties=species:S:1:pos:R:3 pbc="T T T"
Y 6.402 0.017 -0.015
Y 2.180 -5.001 1.474
Y 5.046 -3.158 -0.188
Y 2.937 -5.195 -2.114
Y 1.085 -1.492 3.584
Y -1.024 -3.529 1.658
Y 1.843 -1.687 -0.004
Y -2.379 -6.705 1.485
Ru -0.582 -0.690 1.309
Ru 4.605 -5.998 0.161
Pt 0.371 -4.136 -0.834
Pt 3.651 -2.551 2.304
```

***

[8]
Here is Y4RuPt after structural relaxation from Alexandria via LeMat-Bulk. Energies are from PBE.

Values from the calculation:
* calculated density: 7.56 g cm⁻³
* space-group type: No. 216
* DFT total energy: -6.209 eV/atom
* energy of formation from the pure elements: 3.92 eV per formula unit
* M_tot: 0.000 μB/f.u.

Structure (extended XYZ):
```
6
Lattice="2.758 -5.184 -0.067 -3.047 -4.957 0.791 -0.808 -3.698 -4.490" Properties=species:S:1:pos:R:3 pbc="T T T"
Y 0.969 -7.783 -1.445
Y -0.816 -7.039 -3.659
Y -1.937 -7.670 -1.015
Y -0.412 -5.188 -1.412
Ru 0.000 0.000 0.000
Pt -0.823 -10.380 -2.824
```

***

[9]
Here is Y3RuPt after structural relaxation from Alexandria via LeMat-Bulk. Energies are from PBE.

Values from the calculation:
* calculated density: 7.69 g cm⁻³
* space-group type: No. 14
* DFT total energy: -7.607 eV/atom
* energy of formation from the pure elements: -3.33 eV per formula unit
* M_tot: 0.000 μB/f.u.

Structure (extended XYZ):
```
20
Lattice="7.836 0.000 2.037 0.000 7.314 0.000 0.510 0.000 8.617" Properties=species:S:1:pos:R:3 pbc="T T T"
Y 3.516 1.128 7.513
Y 4.829 6.186 3.142
Y 0.911 4.785 2.123
Y 7.434 2.529 8.531
Y 4.476 5.052 8.433
Y 3.869 2.262 2.221
Y 7.787 1.395 3.240
Y 0.559 5.919 7.414
Y 6.441 7.281 6.286
Y 1.905 0.033 4.368
Y 5.823 3.624 5.387
Y 2.523 3.690 5.268
Ru 3.927 5.986 5.896
Ru 4.419 1.327 4.758
Ru 0.501 2.330 3.740
Ru 7.844 4.984 6.915
Pt 5.906 0.267 9.245
Pt 2.439 7.047 1.409
Pt 6.357 3.924 2.428
Pt 1.988 3.390 8.227
```

***

[10]
Here is Y3RuPt after structural relaxation from Alexandria via LeMat-Bulk. Energies are from PBE.

Values from the calculation:
* calculated density: 6.61 g cm⁻³
* space-group type: No. 221
* DFT total energy: -7.029 eV/atom
* energy of formation from the pure elements: -0.44 eV per formula unit
* M_tot: 0.000 μB/f.u.

Structure (extended XYZ):
```
5
Lattice="5.209 0.000 0.000 0.000 5.209 0.000 0.000 0.000 5.209" Properties=species:S:1:pos:R:3 pbc="T T T"
Y 0.000 2.605 0.000
Y 0.000 0.000 2.605
Y 2.605 0.000 0.000
Ru 0.000 0.000 0.000
Pt 2.605 2.605 2.605
```

***

[11]
Here is Y4RuPt after structural relaxation from Alexandria via LeMat-Bulk. Energies are from PBE.

Values from the calculation:
* calculated density: 6.62 g cm⁻³
* space-group type: No. 14
* DFT total energy: -7.424 eV/atom
* energy of formation from the pure elements: -3.37 eV per formula unit
* M_tot: 0.000 μB/f.u.

Structure (extended XYZ):
```
12
Lattice="6.878 0.000 -0.035 0.000 6.883 0.000 -0.137 0.000 6.908" Properties=species:S:1:pos:R:3 pbc="T T T"
Y 5.777 4.565 1.156
Y 4.403 1.124 5.700
Y 2.208 2.307 2.341
Y 1.094 5.749 4.550
Y 0.964 2.318 5.717
Y 2.338 5.760 1.173
Y 4.533 4.577 4.532
Y 5.647 1.135 2.323
Ru 3.370 0.000 3.436
Ru -0.069 3.442 3.454
Pt 0.000 0.000 0.000
Pt 3.439 3.442 -0.018
```

***

[12]
Here is Y8RuPt2 after structural relaxation from Alexandria via LeMat-Bulk. Energies are from PBE.

Values from the calculation:
* calculated density: 6.63 g cm⁻³
* space-group type: No. 8
* DFT total energy: -7.120 eV/atom
* energy of formation from the pure elements: -5.25 eV per formula unit
* M_tot: 0.000 μB/f.u.

Structure (extended XYZ):
```
11
Lattice="5.879 0.055 -0.990 -1.950 6.781 -2.870 -0.119 -0.136 7.615" Properties=species:S:1:pos:R:3 pbc="T T T"
Y 2.746 2.297 -0.916
Y 3.211 0.540 1.747
Y 0.247 2.391 1.534
Y 5.310 1.393 4.410
Y 4.257 5.370 -1.620
Y 3.438 4.345 2.265
Y 0.354 6.203 2.082
Y 0.818 4.450 4.740
Ru 0.794 0.011 -0.131
Pt 1.496 4.692 -0.055
Pt 2.185 2.091 3.887
```